#i
! PBE TlOsCl2, optimized geometry; values from VASP
&SYSTEM
  ibrav = 0, nat = 4, ntyp = 3
/
ATOMIC_SPECIES
Tl 204.38 Tl.upf
Os 190.23 Os.upf
Cl 35.45 Cl.upf
CELL_PARAMETERS angstrom
-0.919 3.012 -0.079
-5.099 -1.495 2.314
-2.941 -0.732 6.329
ATOMIC_POSITIONS crystal
Tl 0.000 0.000 0.500
Os 0.500 0.500 0.500
Cl 0.000 0.000 0.000
Cl 0.500 0.500 0.000
! calculated volume	84	Å³/cell

***

#ii
! PBE TlOsCl2, optimized geometry; values from VASP
&SYSTEM
  ibrav = 0, nat = 4, ntyp = 3
/
ATOMIC_SPECIES
Tl 204.38 Tl.upf
Os 190.23 Os.upf
Cl 35.45 Cl.upf
CELL_PARAMETERS angstrom
4.566 0.000 0.000
0.000 2.953 0.004
0.000 2.925 6.929
ATOMIC_POSITIONS crystal
Tl 0.500 0.650 0.731
Os 0.000 0.482 0.392
Cl 0.000 0.813 0.059
Cl 0.500 0.555 0.319
! calculated volume	93	Å³/cell

***

Which of them is most stable, and which least? Most stable: #ii; least stable: #i.